PBE+U AcCrF6, optimized geometry; VASP energy = -50.5 eV/cell; polymorph energy (0 for the lowest one) = 0.000 eV per atom; space-group type = R-3m
1.0
3.616 2.087 2.358
-3.616 2.087 2.358
0.000 -4.175 2.358
Ac Cr F
1 1 6
Direct
0.000 0.000 0.000
0.500 0.500 0.500
0.207 0.207 0.566
0.207 0.566 0.207
0.434 0.793 0.793
0.566 0.207 0.207
0.793 0.434 0.793
0.793 0.793 0.434